# AcTbDyLu

Crystalline AcTbDyLu at its relaxed geometry (GGA-PBE, Alexandria via LeMat-Bulk). Values from VASP.

Quantum ESPRESSO input file:
```
&SYSTEM
  ibrav = 0, nat = 16, ntyp = 4
/
ATOMIC_SPECIES
Ac 227.00 Ac.upf
Tb 158.93 Tb.upf
Dy 162.50 Dy.upf
Lu 174.97 Lu.upf
ATOMIC_POSITIONS crystal
Ac 0.0000 0.0000 0.0000
Ac 0.0000 0.5000 0.5000
Ac 0.5000 0.0000 0.5000
Ac 0.5000 0.5000 0.0000
Tb 0.0000 0.0000 0.5000
Tb 0.0000 0.5000 0.0000
Tb 0.5000 0.0000 0.0000
Tb 0.5000 0.5000 0.5000
Dy 0.2500 0.2500 0.2500
Dy 0.2500 0.7500 0.7500
Dy 0.7500 0.2500 0.7500
Dy 0.7500 0.7500 0.2500
Lu 0.2500 0.2500 0.7500
Lu 0.2500 0.7500 0.2500
Lu 0.7500 0.2500 0.2500
Lu 0.7500 0.7500 0.7500
CELL_PARAMETERS angstrom
8.1951 0.0000 0.0000
0.0000 8.1951 0.0000
0.0000 0.0000 8.1951
```

Summary:
Calculated volume in Å³/atom: 34.399
Calculated formation energy in meV per atom: 121